(1)
VASP calculation (PBE) on a relaxed RePt2Pb crystal.

Lattice parameters (Å, degrees): 4.0105 4.0105 4.3033 90.00 90.00 90.00
Positions (direct):
Re: 0.0000 0.0000 0.0000
Pt: 0.0000 0.5000 0.5000
Pt: 0.5000 0.0000 0.5000
Pb: 0.5000 0.5000 0.0000

## Properties
DFT formation energy (meV/atom): 442
Crystal system: tetragonal

(2)
VASP calculation (PBE) on a relaxed Li4Ga3Ru2 crystal.

Lattice parameters (Å, degrees): 5.1254 5.1254 8.4711 112.80 112.80 38.50
Positions (direct):
Li: 0.0054 0.0054 0.1694
Li: 0.3266 0.3266 0.6173
Li: 0.6734 0.6734 0.3827
Li: 0.9946 0.9946 0.8306
Ga: 0.0000 0.0000 0.5000
Ga: 0.3279 0.3279 0.9436
Ga: 0.6721 0.6721 0.0564
Ru: 0.3433 0.3433 0.2757
Ru: 0.6567 0.6567 0.7243

## Properties
DFT formation energy (meV/atom): -236
Crystal system: monoclinic

(3)
VASP calculation (PBE) on a relaxed V2PdPtPb crystal.

Lattice parameters (Å, degrees): 4.8078 4.8078 5.2044 90.00 90.00 90.00
Positions (direct):
V: 0.0000 0.5000 0.0000
V: 0.5000 0.0000 0.0000
Pd: 0.0000 0.0000 0.5000
Pt: 0.5000 0.5000 0.0000
Pb: 0.5000 0.5000 0.5000

## Properties
DFT formation energy (meV/atom): 925
Crystal system: tetragonal

(4)
VASP calculation (PBE) on a relaxed Li2PuCrN4 crystal.

Lattice parameters (Å, degrees): 5.2295 3.2651 5.2449 90.00 106.88 90.00
Positions (direct):
Li: 0.0000 0.0000 0.0000
Li: 0.5000 0.5000 0.0000
Pu: 0.0000 0.5000 0.5000
Cr: 0.5000 0.0000 0.5000
N: 0.2440 0.0000 0.7139
N: 0.2741 0.5000 0.2924
N: 0.7259 0.5000 0.7076
N: 0.7560 0.0000 0.2861

## Properties
E_form (uncorrected) (eV/atom): -0.65
Crystal system: monoclinic

no.,N(E_F) (states/eV/atom)
1,0.811
2,0.284
3,1.641
4,0.656